[1]
A relaxed NaPtSe2O6 crystal, computed with PBE-GGA.

Values from the calculation:
Formation energy from raw total energies = -0.701 eV/atom

Geometry as CIF:
```
data_NaPtSe2O6
_chemical_formula_sum 'Na1 Pt1 Se2 O6'
_symmetry_space_group_name_H-M 'P 1'
_symmetry_Int_Tables_number 1
_symmetry_space_group_name_Hall 'P 1'
_cell_length_a 5.266
_cell_length_b 5.266
_cell_length_c 6.585
_cell_angle_alpha 66.43
_cell_angle_beta 66.43
_cell_angle_gamma 60.00
loop_
_atom_site_label
_atom_site_fract_x
_atom_site_fract_y
_atom_site_fract_z
_atom_site_occupancy
Na1 0.000 0.000 0.000 1
Pt1 0.500 0.500 0.500 1
Se1 0.726 0.726 0.821 1
Se2 0.274 0.274 0.179 1
O1 0.085 0.463 0.717 1
O2 0.736 0.085 0.717 1
O3 0.537 0.264 0.283 1
O4 0.915 0.537 0.283 1
O5 0.264 0.915 0.283 1
O6 0.463 0.736 0.717 1
```

---

[2]
A relaxed NaSiPtO6 crystal, computed with PBE-GGA.

Values from the calculation:
Formation energy from raw total energies = -1.196 eV/atom

Geometry as CIF:
```
data_NaSiPtO6
_chemical_formula_sum 'Na2 Si2 Pt2 O12'
_symmetry_space_group_name_H-M 'P 1'
_symmetry_Int_Tables_number 1
_symmetry_space_group_name_Hall 'P 1'
_cell_length_a 4.971
_cell_length_b 4.971
_cell_length_c 10.410
_cell_angle_alpha 90.00
_cell_angle_beta 90.00
_cell_angle_gamma 120.00
loop_
_atom_site_label
_atom_site_fract_x
_atom_site_fract_y
_atom_site_fract_z
_atom_site_occupancy
Na1 0.000 0.000 0.000 1
Na2 0.000 0.000 0.500 1
Si1 0.667 0.333 0.250 1
Si2 0.333 0.667 0.750 1
Pt1 0.333 0.667 0.250 1
Pt2 0.667 0.333 0.750 1
O1 0.647 0.621 0.154 1
O2 0.974 0.353 0.154 1
O3 0.353 0.974 0.654 1
O4 0.026 0.647 0.846 1
O5 0.379 0.353 0.346 1
O6 0.974 0.621 0.346 1
O7 0.621 0.974 0.846 1
O8 0.647 0.026 0.346 1
O9 0.026 0.379 0.654 1
O10 0.379 0.026 0.154 1
O11 0.621 0.647 0.654 1
O12 0.353 0.379 0.846 1
```

---

[3]
A relaxed Na3Sm2PtO6 crystal, computed with PBE-GGA.

Values from the calculation:
Formation energy from raw total energies = -1.991 eV/atom

Geometry as CIF:
```
data_Na3Sm2PtO6
_chemical_formula_sum 'Na3 Sm2 Pt1 O6'
_symmetry_space_group_name_H-M 'P 1'
_symmetry_Int_Tables_number 1
_symmetry_space_group_name_Hall 'P 1'
_cell_length_a 5.872
_cell_length_b 5.872
_cell_length_c 5.943
_cell_angle_alpha 98.98
_cell_angle_beta 98.98
_cell_angle_gamma 119.99
loop_
_atom_site_label
_atom_site_fract_x
_atom_site_fract_y
_atom_site_fract_z
_atom_site_occupancy
Na1 0.156 0.844 0.500 1
Na2 0.844 0.156 0.500 1
Na3 0.500 0.500 0.500 1
Sm1 0.329 0.671 0.000 1
Sm2 0.671 0.329 0.000 1
Pt1 0.000 0.000 0.000 1
O1 0.922 0.593 0.770 1
O2 0.762 0.762 0.204 1
O3 0.078 0.407 0.230 1
O4 0.593 0.922 0.770 1
O5 0.238 0.238 0.796 1
O6 0.407 0.078 0.230 1
```

---

[4]
A relaxed NaSm2PtO6 crystal, computed with PBE-GGA.

Values from the calculation:
Formation energy from raw total energies = -2.142 eV/atom

Geometry as CIF:
```
data_NaSm2PtO6
_chemical_formula_sum 'Na2 Sm4 Pt2 O12'
_symmetry_space_group_name_H-M 'P 1'
_symmetry_Int_Tables_number 1
_symmetry_space_group_name_Hall 'P 1'
_cell_length_a 5.526
_cell_length_b 5.957
_cell_length_c 7.953
_cell_angle_alpha 90.00
_cell_angle_beta 88.78
_cell_angle_gamma 90.00
loop_
_atom_site_label
_atom_site_fract_x
_atom_site_fract_y
_atom_site_fract_z
_atom_site_occupancy
Na1 0.500 0.000 0.000 1
Na2 0.000 0.500 0.500 1
Sm1 0.025 0.924 0.254 1
Sm2 0.525 0.576 0.754 1
Sm3 0.975 0.076 0.746 1
Sm4 0.475 0.424 0.246 1
Pt1 0.500 0.000 0.500 1
Pt2 0.000 0.500 0.000 1
O1 0.299 0.675 0.058 1
O2 0.799 0.825 0.558 1
O3 0.701 0.325 0.942 1
O4 0.201 0.175 0.442 1
O5 0.337 0.714 0.426 1
O6 0.837 0.786 0.926 1
O7 0.663 0.286 0.574 1
O8 0.163 0.214 0.074 1
O9 0.868 0.556 0.233 1
O10 0.368 0.944 0.733 1
O11 0.132 0.444 0.767 1
O12 0.632 0.056 0.267 1
```

---

[5]
A relaxed NaSm2PtO5 crystal, computed with PBE-GGA.

Values from the calculation:
Formation energy from raw total energies = -2.236 eV/atom

Geometry as CIF:
```
data_NaSm2PtO5
_chemical_formula_sum 'Na2 Sm4 Pt2 O10'
_symmetry_space_group_name_H-M 'P 1'
_symmetry_Int_Tables_number 1
_symmetry_space_group_name_Hall 'P 1'
_cell_length_a 5.843
_cell_length_b 6.724
_cell_length_c 6.724
_cell_angle_alpha 90.00
_cell_angle_beta 90.00
_cell_angle_gamma 90.00
loop_
_atom_site_label
_atom_site_fract_x
_atom_site_fract_y
_atom_site_fract_z
_atom_site_occupancy
Na1 0.000 0.500 0.500 1
Na2 0.000 0.000 0.000 1
Sm1 0.500 0.676 0.176 1
Sm2 0.500 0.176 0.324 1
Sm3 0.500 0.824 0.676 1
Sm4 0.500 0.324 0.824 1
Pt1 0.000 0.000 0.500 1
Pt2 0.000 0.500 0.000 1
O1 0.500 0.500 0.500 1
O2 0.500 0.000 0.000 1
O3 0.256 0.136 0.636 1
O4 0.256 0.864 0.364 1
O5 0.256 0.364 0.136 1
O6 0.256 0.636 0.864 1
O7 0.744 0.136 0.636 1
O8 0.744 0.636 0.864 1
O9 0.744 0.864 0.364 1
O10 0.744 0.364 0.136 1
```

---

[6]
A relaxed Na2SmPtO4 crystal, computed with PBE-GGA.

Values from the calculation:
Formation energy from raw total energies = -1.682 eV/atom

Geometry as CIF:
```
data_Na2SmPtO4
_chemical_formula_sum 'Na2 Sm1 Pt1 O4'
_symmetry_space_group_name_H-M 'P 1'
_symmetry_Int_Tables_number 1
_symmetry_space_group_name_Hall 'P 1'
_cell_length_a 3.329
_cell_length_b 5.724
_cell_length_c 6.173
_cell_angle_alpha 111.54
_cell_angle_beta 90.00
_cell_angle_gamma 90.00
loop_
_atom_site_label
_atom_site_fract_x
_atom_site_fract_y
_atom_site_fract_z
_atom_site_occupancy
Na1 0.500 0.000 0.500 1
Na2 0.000 0.500 0.500 1
Sm1 0.500 0.500 0.000 1
Pt1 0.000 0.000 0.000 1
O1 0.500 0.199 0.194 1
O2 0.500 0.801 0.806 1
O3 0.000 0.279 0.748 1
O4 0.000 0.721 0.252 1
```

---

[7]
A relaxed NaSr2PtO crystal, computed with PBE-GGA.

Values from the calculation:
Formation energy from raw total energies = -1.258 eV/atom

Geometry as CIF:
```
data_NaSr2PtO
_chemical_formula_sum 'Na1 Sr2 Pt1 O1'
_symmetry_space_group_name_H-M 'P 1'
_symmetry_Int_Tables_number 1
_symmetry_space_group_name_Hall 'P 1'
_cell_length_a 5.051
_cell_length_b 5.051
_cell_length_c 4.497
_cell_angle_alpha 90.00
_cell_angle_beta 90.00
_cell_angle_gamma 90.00
loop_
_atom_site_label
_atom_site_fract_x
_atom_site_fract_y
_atom_site_fract_z
_atom_site_occupancy
Sr1 0.000 0.500 0.000 1
Sr2 0.500 0.000 0.000 1
O1 0.000 0.000 0.000 1
Pt1 0.500 0.500 0.500 1
Na1 0.000 0.000 0.500 1
```

---

[8]
A relaxed Na3Sr2PtO6 crystal, computed with PBE-GGA.

Values from the calculation:
Formation energy from raw total energies = -1.649 eV/atom

Geometry as CIF:
```
data_Na3Sr2PtO6
_chemical_formula_sum 'Na3 Sr2 Pt1 O6'
_symmetry_space_group_name_H-M 'P 1'
_symmetry_Int_Tables_number 1
_symmetry_space_group_name_Hall 'P 1'
_cell_length_a 6.054
_cell_length_b 6.054
_cell_length_c 5.906
_cell_angle_alpha 99.23
_cell_angle_beta 99.23
_cell_angle_gamma 120.77
loop_
_atom_site_label
_atom_site_fract_x
_atom_site_fract_y
_atom_site_fract_z
_atom_site_occupancy
Na1 0.142 0.858 0.500 1
Na2 0.858 0.142 0.500 1
Na3 0.500 0.500 0.500 1
Sr1 0.331 0.669 0.000 1
Sr2 0.669 0.331 0.000 1
Pt1 0.000 0.000 0.000 1
O1 0.929 0.653 0.780 1
O2 0.782 0.782 0.207 1
O3 0.071 0.347 0.220 1
O4 0.653 0.929 0.780 1
O5 0.218 0.218 0.793 1
O6 0.347 0.071 0.220 1
```

---

[9]
A relaxed NaSrPtO3 crystal, computed with PBE-GGA.

Values from the calculation:
Formation energy from raw total energies = -1.247 eV/atom

Geometry as CIF:
```
data_NaSrPtO3
_chemical_formula_sum 'Na2 Sr2 Pt2 O6'
_symmetry_space_group_name_H-M 'P 1'
_symmetry_Int_Tables_number 1
_symmetry_space_group_name_Hall 'P 1'
_cell_length_a 5.959
_cell_length_b 5.312
_cell_length_c 7.428
_cell_angle_alpha 110.95
_cell_angle_beta 90.00
_cell_angle_gamma 90.00
loop_
_atom_site_label
_atom_site_fract_x
_atom_site_fract_y
_atom_site_fract_z
_atom_site_occupancy
Na1 0.250 0.420 0.841 1
Na2 0.750 0.580 0.159 1
Sr1 0.750 0.257 0.514 1
Sr2 0.250 0.743 0.486 1
Pt1 0.250 0.002 0.004 1
Pt2 0.750 0.998 0.996 1
O1 0.250 0.260 0.520 1
O2 0.000 0.241 0.000 1
O3 0.500 0.759 0.000 1
O4 0.500 0.241 0.000 1
O5 0.000 0.759 0.000 1
O6 0.750 0.740 0.480 1
```

---

[10]
A relaxed NaTaPtO4 crystal, computed with PBE-GGA.

Values from the calculation:
Formation energy from raw total energies = -1.784 eV/atom

Geometry as CIF:
```
data_NaTaPtO4
_chemical_formula_sum 'Na2 Ta2 Pt2 O8'
_symmetry_space_group_name_H-M 'P 1'
_symmetry_Int_Tables_number 1
_symmetry_space_group_name_Hall 'P 1'
_cell_length_a 6.006
_cell_length_b 6.960
_cell_length_c 6.022
_cell_angle_alpha 115.63
_cell_angle_beta 90.00
_cell_angle_gamma 115.56
loop_
_atom_site_label
_atom_site_fract_x
_atom_site_fract_y
_atom_site_fract_z
_atom_site_occupancy
Na1 0.839 0.677 0.089 1
Na2 0.161 0.323 0.911 1
Ta1 0.500 0.000 0.500 1
Ta2 0.500 0.000 0.000 1
Pt1 0.500 0.500 0.500 1
Pt2 0.000 0.500 0.500 1
O1 0.687 0.375 0.647 1
O2 0.263 0.953 0.227 1
O3 0.690 0.953 0.227 1
O4 0.687 0.375 0.227 1
O5 0.313 0.625 0.773 1
O6 0.737 0.047 0.773 1
O7 0.310 0.047 0.773 1
O8 0.313 0.625 0.353 1
```

---

[11]
A relaxed NaTaPtO6 crystal, computed with PBE-GGA.

Values from the calculation:
Formation energy from raw total energies = -1.439 eV/atom

Geometry as CIF:
```
data_NaTaPtO6
_chemical_formula_sum 'Na2 Ta2 Pt2 O12'
_symmetry_space_group_name_H-M 'P 1'
_symmetry_Int_Tables_number 1
_symmetry_space_group_name_Hall 'P 1'
_cell_length_a 5.312
_cell_length_b 5.312
_cell_length_c 10.301
_cell_angle_alpha 90.00
_cell_angle_beta 90.00
_cell_angle_gamma 120.00
loop_
_atom_site_label
_atom_site_fract_x
_atom_site_fract_y
_atom_site_fract_z
_atom_site_occupancy
Na1 0.000 0.000 0.000 1
Na2 0.000 0.000 0.500 1
Ta1 0.667 0.333 0.250 1
Ta2 0.333 0.667 0.750 1
Pt1 0.333 0.667 0.250 1
Pt2 0.667 0.333 0.750 1
O1 0.629 0.632 0.146 1
O2 0.003 0.371 0.146 1
O3 0.371 0.003 0.646 1
O4 0.997 0.629 0.854 1
O5 0.368 0.371 0.354 1
O6 0.003 0.632 0.354 1
O7 0.632 0.003 0.854 1
O8 0.629 0.997 0.354 1
O9 0.997 0.368 0.646 1
O10 0.368 0.997 0.146 1
O11 0.632 0.629 0.646 1
O12 0.371 0.368 0.854 1
```

---

[12]
A relaxed Na3Tb2PtO6 crystal, computed with PBE-GGA.

Values from the calculation:
Formation energy from raw total energies = -2.068 eV/atom

Geometry as CIF:
```
data_Na3Tb2PtO6
_chemical_formula_sum 'Na3 Tb2 Pt1 O6'
_symmetry_space_group_name_H-M 'P 1'
_symmetry_Int_Tables_number 1
_symmetry_space_group_name_Hall 'P 1'
_cell_length_a 5.790
_cell_length_b 5.790
_cell_length_c 5.903
_cell_angle_alpha 98.84
_cell_angle_beta 98.84
_cell_angle_gamma 120.22
loop_
_atom_site_label
_atom_site_fract_x
_atom_site_fract_y
_atom_site_fract_z
_atom_site_occupancy
Na1 0.158 0.842 0.500 1
Na2 0.842 0.158 0.500 1
Na3 0.500 0.500 0.500 1
Tb1 0.330 0.670 0.000 1
Tb2 0.670 0.330 0.000 1
Pt1 0.000 0.000 0.000 1
O1 0.924 0.590 0.773 1
O2 0.756 0.756 0.203 1
O3 0.076 0.410 0.227 1
O4 0.590 0.924 0.773 1
O5 0.244 0.244 0.797 1
O6 0.410 0.076 0.227 1
```